[1]
The following is a PBE calculation of a relaxed structure of KAl2Pt, from Alexandria via LeMat-Bulk.

Values from the calculation:
E ... -3.3567 eV/atom
ΔH_f (0 K) ... 0.299 eV per atom

Unit cell a=5.8791 b=9.8139 c=2.8004 alpha=90.00 beta=90.00 gamma=90.00
Space group Cmmm (No. 65)
Symmetry-distinct sites (fractional):
K 0.0000 0.0000 0.0000 x2
Al 0.2500 0.2500 0.5000 x4
Pt 0.0000 0.5000 0.0000 x2

[2]
The following is a PBE calculation of a relaxed structure of SmTmSc, from Alexandria via LeMat-Bulk.

Values from the calculation:
Energy above the most stable polymorph in this dataset ... 0.14 eV per formula unit
E ... -5.0936 eV/atom
ΔH_f (0 K) ... 0.080 eV per atom

Unit cell a=5.4839 b=5.4839 c=3.3689 alpha=90.00 beta=90.00 gamma=120.00
Space group P-6m2 (No. 187)
Symmetry-distinct sites (fractional):
Sm 0.0000 0.0000 0.0000 x1
Tm 0.3333 0.6667 0.5000 x1
Sc 0.6667 0.3333 0.5000 x1

[3]
The following is a PBE calculation of a relaxed structure of ZrZn2Rh2, from Alexandria via LeMat-Bulk.

Values from the calculation:
Energy above the most stable polymorph in this dataset ... 0.52 eV per formula unit
E ... -5.5936 eV/atom
ΔH_f (0 K) ... -0.434 eV per atom

Unit cell a=3.4886 b=3.4886 c=13.5253 alpha=90.00 beta=90.00 gamma=90.00
Space group I4/mmm (No. 139)
Symmetry-distinct sites (fractional):
Zr 0.0000 0.0000 0.0000 x2
Zn 0.0000 0.5000 0.2500 x4
Rh 0.0000 0.0000 0.3976 x4

[4]
The following is a PBE calculation of a relaxed structure of Tb2Y2Ho4Er, from Alexandria via LeMat-Bulk.

Values from the calculation:
E ... -5.0075 eV/atom
ΔH_f (0 K) ... -0.001 eV per atom

Unit cell a=18.5577 b=3.5723 c=9.4909 alpha=90.00 beta=115.76 gamma=90.00
Space group C2/m (No. 12)
Symmetry-distinct sites (fractional):
Tb 0.1662 0.0000 0.0011 x4
Y 0.1474 0.5000 0.6651 x4
Ho 0.0187 0.0000 0.3326 x4
Ho 0.1850 0.5000 0.3344 x4
Er 0.0000 0.5000 0.0000 x2

[5]
The following is a PBE calculation of a relaxed structure of BaTcRh, from Alexandria via LeMat-Bulk.

Values from the calculation:
Energy above the most stable polymorph in this dataset ... 4.85 eV per formula unit
E ... -4.8735 eV/atom
ΔH_f (0 K) ... 1.673 eV per atom

Unit cell a=6.7689 b=6.7689 c=6.7689 alpha=90.00 beta=90.00 gamma=90.00
Space group F-43m (No. 216)
Symmetry-distinct sites (fractional):
Ba 0.0000 0.0000 0.0000 x4
Tc 0.2500 0.2500 0.2500 x4
Rh 0.2500 0.2500 0.7500 x4

[6]
The following is a PBE calculation of a relaxed structure of CoCuTc2I, from Alexandria via LeMat-Bulk.

Values from the calculation:
E ... -4.7048 eV/atom
Formation energy (no corrections) ... 1992.0 meV/atom

Unit cell a=4.8598 b=4.8598 c=4.5286 alpha=90.00 beta=90.00 gamma=90.00
Space group P4/mmm (No. 123)
Symmetry-distinct sites (fractional):
Co 0.0000 0.0000 0.0000 x1
Cu 0.5000 0.5000 0.0000 x1
Tc 0.0000 0.5000 0.5000 x2
I 0.0000 0.0000 0.5000 x1

[7]
The following is a PBE calculation of a relaxed structure of AlRu3, from Alexandria via LeMat-Bulk.

Values from the calculation:
E ... -8.0720 eV/atom
ΔH_f (0 K) ... -0.179 eV per atom

Unit cell a=4.3639 b=5.3670 c=4.7781 alpha=90.00 beta=90.00 gamma=90.00
Space group Pmmn (No. 59, origin choice 2)
Symmetry-distinct sites (fractional):
Al 0.2500 0.2500 0.1470 x2
Ru 0.2500 0.5080 0.6455 x4
Ru 0.2500 0.7500 0.1501 x2

[8]
The following is a PBE calculation of a relaxed structure of ZrTl2Si2, from Alexandria via LeMat-Bulk.

Values from the calculation:
Energy above the most stable polymorph in this dataset ... 1.21 eV per formula unit
E ... -4.2589 eV/atom
Formation energy (no corrections) ... 566.4 meV/atom

Unit cell a=7.7643 b=7.7643 c=3.6609 alpha=90.00 beta=90.00 gamma=90.00
Space group P4/mbm (No. 127)
Symmetry-distinct sites (fractional):
Zr 0.0000 0.0000 0.0000 x2
Tl 0.1368 0.3632 0.0000 x4
Si 0.1663 0.6663 0.5000 x4

[9]
The following is a PBE calculation of a relaxed structure of SiOsSe, from Alexandria via LeMat-Bulk.

Values from the calculation:
Energy above the most stable polymorph in this dataset ... 0.00 eV per formula unit
E ... -6.5476 eV/atom
Formation energy (no corrections) ... 164.9 meV/atom

Unit cell a=5.9090 b=5.9090 c=5.9090 alpha=90.00 beta=90.00 gamma=90.00
Space group F-43m (No. 216)
Symmetry-distinct sites (fractional):
Si 0.0000 0.0000 0.0000 x4
Os 0.2500 0.2500 0.2500 x4
Se 0.0000 0.0000 0.5000 x4

[10]
The following is a PBE calculation of a relaxed structure of HfV2N4, from Alexandria via LeMat-Bulk.

Values from the calculation:
E ... -9.0508 eV/atom
Formation energy (no corrections) ... -266.2 meV/atom

Unit cell a=4.1916 b=4.1916 c=10.1769 alpha=90.00 beta=90.00 gamma=90.00
Space group I4/mmm (No. 139)
Symmetry-distinct sites (fractional):
Hf 0.0000 0.0000 0.0000 x2
V 0.0000 0.0000 0.3764 x4
N 0.0000 0.0000 0.2164 x4
N 0.0000 0.5000 0.0000 x4

[11]
The following is a PBE calculation of a relaxed structure of Li6SiPd2, from Alexandria via LeMat-Bulk.

Values from the calculation:
Energy above the most stable polymorph in this dataset ... 0.00 eV per formula unit
E ... -3.4214 eV/atom
Formation energy (no corrections) ... -389.0 meV/atom

Unit cell a=6.7358 b=7.4758 c=5.0264 alpha=90.00 beta=99.26 gamma=90.00
Space group C2/m (No. 12)
Symmetry-distinct sites (fractional):
Li 0.0000 0.1680 0.0000 x4
Li 0.1661 0.3339 0.6676 x8
Si 0.0000 0.0000 0.5000 x2
Pd 0.1786 0.5000 0.1788 x4

[12]
The following is a PBE calculation of a relaxed structure of TaGeTe2N, from Alexandria via LeMat-Bulk.

Values from the calculation:
Energy above the most stable polymorph in this dataset ... 0.00 eV per formula unit
E ... -6.0404 eV/atom
Formation energy (no corrections) ... 175.3 meV/atom

Unit cell a=5.5803 b=5.5803 c=3.8995 alpha=90.00 beta=90.00 gamma=90.00
Space group P4/mmm (No. 123)
Symmetry-distinct sites (fractional):
Ta 0.0000 0.0000 0.0000 x1
Ge 0.5000 0.5000 0.5000 x1
Te 0.0000 0.5000 0.0000 x2
N 0.0000 0.0000 0.5000 x1

no.,total magnetization (Bohr magnetons per cell)
1,0.0
2,0.0
3,0.0
4,0.0
5,13.9
6,3.9
7,0.0
8,0.0
9,0.0
10,3.9
11,0.0
12,0.0